Ba2TlGa after structural relaxation. Source: Alexandria, functional GGA-PBE.

Lattice parameters (Å, degrees): 12.124 12.124 12.124 20.00 20.00 20.00
Fractional positions:
Ba (0.101, 0.101, 0.101)
Ba (0.899, 0.899, 0.899)
Tl (0.000, 0.000, 0.000)
Ga (0.500, 0.500, 0.500)

Values from the calculation:
V   182 Å³ per cell
DFT formation energy   0.09 eV/f.u.
E above lowest polymorph   374 meV/atom
Total energy   -9.147 eV per cell
Fermi-level density of states   5.005 states/eV/cell
Spin magnetization   0.00 μB/cell
Symmetry   R-3m